Entry 1:
10
Lattice="3.895 0.000 0.000 0.000 3.895 0.000 0.000 0.000 13.330" Properties=species:S:1:pos:R:3 comment="ThScS2N (PBE, optimized geometry)" vol_a3_per_atom=20.22 dft_energy_ev_per_fu=-39.61 sg="No. 129" pbc="T T T"
Th 0.974 0.974 1.258
Th 2.921 2.921 12.072
Sc 0.974 0.974 8.116
Sc 2.921 2.921 5.215
S 0.974 0.974 5.453
S 0.974 0.974 10.497
S 2.921 2.921 2.834
S 2.921 2.921 7.877
N 0.974 2.921 0.000
N 2.921 0.974 0.000

Entry 2:
12
Lattice="7.132 0.000 0.000 0.000 4.116 0.000 -0.981 0.000 9.160" Properties=species:S:1:pos:R:3 comment="CaPaCuAs3 (PBE, optimized geometry)" vol_a3_per_atom=22.41 formation_enthalpy_0k_ev_per_atom=-0.765 sg="No. 11" pbc="T T T"
Ca 1.223 1.029 1.527
Ca 4.928 3.087 7.633
Pa 1.286 3.087 5.524
Pa 4.865 1.029 3.636
Cu 2.310 1.029 8.303
Cu 3.841 3.087 0.857
As -0.596 1.029 6.033
As 0.905 3.087 8.457
As 2.945 3.087 3.122
As 3.206 1.029 6.039
As 5.246 1.029 0.704
As 6.748 3.087 3.128